Entry from the Alexandria database: a geometry-optimized CaTe2Br structure (GGA-PBE).

CIF file:
```
data_CaTe2Br
_space_group_name_H-M_alt 'R -3 m'
_space_group_IT_number 166
_space_group_name_Hall '-R 3 2"'
_cell_length_a 3.8444
_cell_length_b 3.8444
_cell_length_c 28.9466
_cell_angle_alpha 90.00
_cell_angle_beta 90.00
_cell_angle_gamma 120.00
loop_
_atom_site_label
_atom_site_type_symbol
_atom_site_fract_x
_atom_site_fract_y
_atom_site_fract_z
_atom_site_occupancy
Ca1 Ca 0.0000 0.0000 0.0000 1
Te1 Te 0.0000 0.0000 0.2539 1
Br1 Br 0.0000 0.0000 0.5000 1
```

Output
**V**: 370.5 Å³/cell
**DFT total energy**: -33.67 eV/cell
**Energy above the most stable polymorph in this dataset**: 732 meV/atom
**Theoretical density**: 5.044 g cm⁻³
**Formation energy without anion corrections**: -0.32 eV/atom
**M_tot**: 0.00 μB/f.u.